## LaSn3Pt3 (GGA-PBE)

Data for an optimized crystal structure of LaSn3Pt3. Values from VASP.

Results
* DFT formation energy: -0.64 eV per atom
* SG: No. 148

Structure (Quantum ESPRESSO input):
```
&SYSTEM
  ibrav = 0, nat = 14, ntyp = 3
/
ATOMIC_SPECIES
La 138.91 La.upf
Sn 118.71 Sn.upf
Pt 195.08 Pt.upf
CELL_PARAMETERS angstrom
-2.773 -6.436 -4.688
5.505 -5.022 -3.944
1.077 -7.141 1.585
ATOMIC_POSITIONS angstrom
La 1.987 -10.950 -1.306
La 1.822 -7.648 -5.741
Sn 4.151 -11.618 -3.811
Sn -0.923 -10.800 -3.012
Sn 2.595 -7.666 -0.810
Sn 1.214 -10.933 -6.237
Sn 4.731 -7.798 -4.035
Sn -0.342 -6.980 -3.236
Pt 2.569 -6.304 -3.109
Pt -0.786 -9.061 -5.036
Pt 3.802 -9.962 -5.878
Pt 0.007 -8.636 -1.169
Pt 4.595 -9.537 -2.011
Pt 1.240 -12.294 -3.938
```